[1]
VASP calculation (SCAN) on a crystal of ScTc2SnGe relaxed with PBEsol.

Lattice parameters (Å, degrees): 4.5514 4.5514 5.1984 90.00 90.00 90.00
Element x y z (fractional)
1 Sc 0.0000 0.0000 0.0000
2 Tc 0.0000 0.5000 0.0000
3 Tc 0.5000 0.0000 0.0000
4 Sn 0.0000 0.0000 0.5000
5 Ge 0.5000 0.5000 0.5000

calculated volume: 107.7 Å³ per cell
energy of formation from the pure elements: 1665.0 meV/atom

[2]
VASP calculation (SCAN) on a crystal of SrSc3Ge relaxed with PBEsol.

Lattice parameters (Å, degrees): 5.2355 5.2355 5.2355 90.00 90.00 90.00
Element x y z (fractional)
1 Sr 0.0000 0.0000 0.0000
2 Sc 0.0000 0.5000 0.5000
3 Sc 0.5000 0.0000 0.5000
4 Sc 0.5000 0.5000 0.0000
5 Ge 0.5000 0.5000 0.5000

calculated volume: 143.5 Å³ per cell
energy of formation from the pure elements: -69.5 meV/atom

[3]
VASP calculation (SCAN) on a crystal of ScTaGe3 relaxed with PBEsol.

Lattice parameters (Å, degrees): 4.8074 4.8074 4.8074 90.00 90.00 90.00
Element x y z (fractional)
1 Sc 0.0000 0.0000 0.0000
2 Ta 0.5000 0.5000 0.5000
3 Ge 0.0000 0.0000 0.5000
4 Ge 0.0000 0.5000 0.0000
5 Ge 0.5000 0.0000 0.0000

calculated volume: 111.1 Å³ per cell
energy of formation from the pure elements: 1214.6 meV/atom

The highest energy of formation from the pure elements belongs to which entry? ScTc2SnGe